# 1
The following is a PBE+U calculation of a relaxed SrMnW2F crystal, from the Alexandria database.

Summary:
Symmetry: P4/mmm
DFT total energy (eV/cell): -15.01

Unit cell a=6.2534 b=6.2534 c=6.6034 alpha=90.00 beta=90.00 gamma=90.00
With the nearest neighbours (Å) after each atom.
Fractional coordinates of all 5 atoms:
Sr 0.0000 0.0000 0.0000  4 W 3.13, 2 Mn 3.30
Mn 0.0000 0.0000 0.5000  2 Sr 3.30
W 0.0000 0.5000 0.0000  2 Sr 3.13
W 0.5000 0.0000 0.0000  2 Sr 3.13
F 0.5000 0.5000 0.5000  4 Mn 4.42, 8 W 4.55

# 2
The following is a PBE+U calculation of a relaxed SrMnZnF6 crystal, from the Alexandria database.

Summary:
Symmetry: P312
DFT total energy (eV/cell): -48.46

Unit cell a=5.5149 b=5.5149 c=5.2323 alpha=90.00 beta=90.00 gamma=120.00
With the nearest neighbours (Å) after each atom.
Fractional coordinates of all 9 atoms:
Sr 0.0000 0.0000 0.0000  6 F 2.47
Mn 0.3333 0.6667 0.5000  6 F 2.14
Zn 0.6667 0.3333 0.5000  6 F 2.07
F 0.3637 0.0095 0.7180  1 Zn 2.07, 1 Mn 2.14
F 0.3637 0.3541 0.2820  1 Zn 2.07, 1 Mn 2.14
F 0.6459 0.0095 0.2820  1 Zn 2.07, 1 Mn 2.14
F 0.6459 0.6363 0.7180  1 Zn 2.07, 1 Mn 2.14
F 0.9905 0.3541 0.7180  1 Zn 2.07, 1 Mn 2.14
F 0.9905 0.6363 0.2820  1 Zn 2.07, 1 Mn 2.14

# 3
The following is a PBE+U calculation of a relaxed TaMn3F crystal, from the Alexandria database.

Summary:
Symmetry: Pm-3m
Energy above the most stable polymorph in this dataset (eV/atom): 1.026
DFT total energy (eV/cell): -30.03

Unit cell a=5.2298 b=5.2298 c=5.2298 alpha=90.00 beta=90.00 gamma=90.00
With the nearest neighbours (Å) after each atom.
Fractional coordinates of all 5 atoms:
Ta 0.0000 0.0000 0.0000  6 Mn 2.61
Mn 0.0000 0.0000 0.5000  2 Ta 2.61
Mn 0.0000 0.5000 0.0000  2 Ta 2.61
Mn 0.5000 0.0000 0.0000  2 Ta 2.61
F 0.5000 0.5000 0.5000  12 Mn 3.70

Respective magnetic moment values: 6.0 5.0 11.1 μB/f.u..